(1)
Compound: RbVRhCl6
Source: Alexandria via LeMat-Bulk
Functional: PBE
Structure: optimized geometry

Space group = P312
E_form (uncorrected) = -108.7 kJ per mole of atoms
Volume = 256.9 Å³ per cell
Energy = -4.295 eV per atom

Cell and atoms, written as CIF:
```
data_RbVRhCl6
_space_group_name_H-M_alt 'P 1'
_space_group_IT_number 1
_cell_length_a 6.3043
_cell_length_b 6.3043
_cell_length_c 7.4641
_cell_angle_alpha 90.00
_cell_angle_beta 90.00
_cell_angle_gamma 120.00
loop_
_space_group_symop_operation_xyz
'x,y,z'
loop_
_atom_site_label
_atom_site_type_symbol
_atom_site_fract_x
_atom_site_fract_y
_atom_site_fract_z
Rb1 Rb 0.0000 0.0000 0.0000
V1 V 0.6667 0.3333 0.5000
Rh1 Rh 0.3333 0.6667 0.5000
Cl1 Cl 0.0037 0.3646 0.3199
Cl2 Cl 0.0037 0.6391 0.6801
Cl3 Cl 0.3609 0.3646 0.6801
Cl4 Cl 0.3609 0.9963 0.3199
Cl5 Cl 0.6354 0.6391 0.3199
Cl6 Cl 0.6354 0.9963 0.6801
```

(2)
Compound: Rb2RhWCl6
Source: Alexandria via LeMat-Bulk
Functional: PBE
Structure: optimized geometry

Space group = I4/mmm
E_form (uncorrected) = -83.9 kJ per mole of atoms
Volume = 270.0 Å³ per cell
Energy = -4.202 eV per atom

Cell and atoms, written as CIF:
```
data_Rb2RhWCl6
_space_group_name_H-M_alt 'P 1'
_space_group_IT_number 1
_cell_length_a 7.0965
_cell_length_b 7.0965
_cell_length_c 7.0965
_cell_angle_alpha 114.24
_cell_angle_beta 114.24
_cell_angle_gamma 100.31
loop_
_space_group_symop_operation_xyz
'x,y,z'
loop_
_atom_site_label
_atom_site_type_symbol
_atom_site_fract_x
_atom_site_fract_y
_atom_site_fract_z
Rb1 Rb 0.2500 0.7500 0.5000
Rb2 Rb 0.7500 0.2500 0.5000
Rh1 Rh 0.0000 0.0000 0.0000
W1 W 0.5000 0.5000 0.0000
Cl1 Cl 0.2460 0.2460 0.0000
Cl2 Cl 0.2735 0.2735 0.5471
Cl3 Cl 0.2735 0.7265 0.0000
Cl4 Cl 0.7265 0.2735 0.0000
Cl5 Cl 0.7265 0.7265 0.4529
Cl6 Cl 0.7540 0.7540 0.0000
```

(3)
Compound: Rb2ZnRhCl6
Source: Alexandria via LeMat-Bulk
Functional: PBE
Structure: optimized geometry

Space group = I4/mmm
E_form (uncorrected) = -111.3 kJ per mole of atoms
Volume = 247.6 Å³ per cell
Energy = -3.317 eV per atom

Cell and atoms, written as CIF:
```
data_Rb2ZnRhCl6
_space_group_name_H-M_alt 'P 1'
_space_group_IT_number 1
_cell_length_a 6.9212
_cell_length_b 6.9212
_cell_length_c 6.9212
_cell_angle_alpha 115.57
_cell_angle_beta 115.57
_cell_angle_gamma 97.86
loop_
_space_group_symop_operation_xyz
'x,y,z'
loop_
_atom_site_label
_atom_site_type_symbol
_atom_site_fract_x
_atom_site_fract_y
_atom_site_fract_z
Rb1 Rb 0.2500 0.7500 0.5000
Rb2 Rb 0.7500 0.2500 0.5000
Zn1 Zn 0.0000 0.0000 0.0000
Rh1 Rh 0.5000 0.5000 0.0000
Cl1 Cl 0.2399 0.2399 0.0000
Cl2 Cl 0.2670 0.2670 0.5339
Cl3 Cl 0.2670 0.7330 0.0000
Cl4 Cl 0.7330 0.2670 0.0000
Cl5 Cl 0.7330 0.7330 0.4661
Cl6 Cl 0.7601 0.7601 0.0000
```

(4)
Compound: RbZnRhCl6
Source: Alexandria via LeMat-Bulk
Functional: PBE
Structure: optimized geometry

Space group = P312
E_form (uncorrected) = -104.8 kJ per mole of atoms
Volume = 258.2 Å³ per cell
Energy = -3.384 eV per atom

Cell and atoms, written as CIF:
```
data_RbZnRhCl6
_space_group_name_H-M_alt 'P 1'
_space_group_IT_number 1
_cell_length_a 6.3373
_cell_length_b 6.3373
_cell_length_c 7.4244
_cell_angle_alpha 90.00
_cell_angle_beta 90.00
_cell_angle_gamma 120.00
loop_
_space_group_symop_operation_xyz
'x,y,z'
loop_
_atom_site_label
_atom_site_type_symbol
_atom_site_fract_x
_atom_site_fract_y
_atom_site_fract_z
Rb1 Rb 0.0000 0.0000 0.0000
Zn1 Zn 0.6667 0.3333 0.5000
Rh1 Rh 0.3333 0.6667 0.5000
Cl1 Cl 0.0147 0.3740 0.6823
Cl2 Cl 0.0147 0.6406 0.3177
Cl3 Cl 0.3594 0.3740 0.3177
Cl4 Cl 0.3594 0.9853 0.6823
Cl5 Cl 0.6260 0.6406 0.6823
Cl6 Cl 0.6260 0.9853 0.3177
```

(5)
Compound: Rb3RuCl
Source: Alexandria via LeMat-Bulk
Functional: PBE
Structure: optimized geometry

Space group = Pm-3m
E_form (uncorrected) = 16.7 kJ per mole of atoms
Relative energy among the computed polymorphs = 0.0 meV/atom
Volume = 244.8 Å³ per cell
Energy = -2.632 eV per atom

Cell and atoms, written as CIF:
```
data_Rb3RuCl
_space_group_name_H-M_alt 'P 1'
_space_group_IT_number 1
_cell_length_a 6.2560
_cell_length_b 6.2560
_cell_length_c 6.2560
_cell_angle_alpha 90.00
_cell_angle_beta 90.00
_cell_angle_gamma 90.00
loop_
_space_group_symop_operation_xyz
'x,y,z'
loop_
_atom_site_label
_atom_site_type_symbol
_atom_site_fract_x
_atom_site_fract_y
_atom_site_fract_z
Rb1 Rb 0.0000 0.0000 0.5000
Rb2 Rb 0.0000 0.5000 0.0000
Rb3 Rb 0.5000 0.0000 0.0000
Ru1 Ru 0.5000 0.5000 0.5000
Cl1 Cl 0.0000 0.0000 0.0000
```

(6)
Compound: Rb6RuCl12
Source: Alexandria via LeMat-Bulk
Functional: PBE
Structure: optimized geometry

Space group = R-3
E_form (uncorrected) = -125.4 kJ per mole of atoms
Volume = 817.8 Å³ per cell
Energy = -3.259 eV per atom

Cell and atoms, written as CIF:
```
data_Rb6RuCl12
_space_group_name_H-M_alt 'P 1'
_space_group_IT_number 1
_cell_length_a 9.3531
_cell_length_b 9.3531
_cell_length_c 9.3531
_cell_angle_alpha 88.99
_cell_angle_beta 88.99
_cell_angle_gamma 88.99
loop_
_space_group_symop_operation_xyz
'x,y,z'
loop_
_atom_site_label
_atom_site_type_symbol
_atom_site_fract_x
_atom_site_fract_y
_atom_site_fract_z
Rb1 Rb 0.1552 0.8264 0.3301
Rb2 Rb 0.1736 0.6699 0.8448
Rb3 Rb 0.3301 0.1552 0.8264
Rb4 Rb 0.6699 0.8448 0.1736
Rb5 Rb 0.8264 0.3301 0.1552
Rb6 Rb 0.8448 0.1736 0.6699
Ru1 Ru 0.5000 0.5000 0.5000
Cl1 Cl 0.0471 0.3516 0.8828
Cl2 Cl 0.1172 0.9529 0.6484
Cl3 Cl 0.2509 0.4950 0.5090
Cl4 Cl 0.3516 0.8828 0.0471
Cl5 Cl 0.4910 0.7491 0.5050
Cl6 Cl 0.4950 0.5090 0.2509
Cl7 Cl 0.5050 0.4910 0.7491
Cl8 Cl 0.5090 0.2509 0.4950
Cl9 Cl 0.6484 0.1172 0.9529
Cl10 Cl 0.7491 0.5050 0.4910
Cl11 Cl 0.8828 0.0471 0.3516
Cl12 Cl 0.9529 0.6484 0.1172
```